Entry 1:
Cu5Pt, relaxed, DFT PBE; D(E_F) = 0.646 states/eV per atom; ΔH_f (0 K) = 0.99 eV per formula unit; M_tot = 0.00 μB/f.u.; density = 10.63 g cm⁻³; raw total energy = -25.5 eV per formula unit
1.0
4.720 0.000 0.000
-2.360 4.087 0.000
0.000 0.000 4.153
Cu Pt
5 1
direct
0.000 0.500 0.000
0.333 0.667 0.500
0.500 0.000 0.000
0.500 0.500 0.000
0.667 0.333 0.500
0.000 0.000 0.500

=====

Entry 2:
AcHo2S5, relaxed, DFT PBE; D(E_F) = 0.785 states/eV per atom; M_tot = 0.00 μB/f.u.; density = 6.69 g cm⁻³; raw total energy = -48.9 eV per formula unit; ΔE_f (raw) = -1.877 eV/atom
1.0
-3.711 3.711 6.465
3.711 -3.711 6.465
3.711 3.711 -6.465
Ac Ho S
2 4 10
direct
0.250 0.250 0.000
0.750 0.750 0.000
0.158 0.658 0.817
0.342 0.158 0.500
0.658 0.842 0.500
0.842 0.342 0.183
0.000 0.000 0.000
0.012 0.211 0.500
0.211 0.711 0.199
0.289 0.488 0.500
0.488 0.988 0.199
0.500 0.500 0.000
0.512 0.012 0.801
0.711 0.512 0.500
0.789 0.289 0.801
0.988 0.789 0.500